DFT (GGA-PBE) results for an optimized crystal structure of BaPtBr4.

a b c (Å): 7.4895 7.4895 8.2792
angles (deg): 90.00 90.00 90.00
Closest atoms and distances in Å follow each position.
Space group I-4 (No. 82)
Unique sites:
Ba 0.0000 0.0000 0.0000 x2  8 Br 3.36-3.37
Pt 0.0000 0.5000 0.7500 x2  4 Br 2.46
Br 0.2316 0.2665 0.7490 x8  1 Pt 2.46

Output
Energy relative to the elements, uncorrected (meV per atom): -1184
Energy relative to the lowest polymorph listed for this composition (eV/atom): 0.0000
Final energy (eV per atom): -3.626

DFT (GGA-PBE) results for an optimized crystal structure of Ba8Pt2Br.

a b c (Å): 6.6324 10.3415 10.3423
angles (deg): 60.04 90.00 90.00
Closest atoms and distances in Å follow each position.
Space group P-1 (No. 2)
Unique sites:
Ba 0.2467 0.1666 0.1666 x2  2 Pt 3.31-3.33
Ba 0.2531 0.1678 0.6671 x2  1 Pt 3.00
Ba 0.2531 0.6649 0.1678 x2  1 Pt 3.00
Ba 0.2532 0.6673 0.6650 x2  1 Pt 3.00
Pt 0.2546 0.8334 0.8334 x2  5 Ba 3.00-3.33
Br 0.0000 0.5000 0.5000 x1  6 Ba 3.42

Output
Energy relative to the elements, uncorrected (meV per atom): -450
Final energy (eV per atom): -3.099
D(E_F) (states/eV/atom): 1.29

DFT (GGA-PBE) results for an optimized crystal structure of Ba3PtBr3.

a b c (Å): 13.3148 13.3148 13.3148
angles (deg): 90.00 90.00 90.00
Closest atoms and distances in Å follow each position.
Space group I4_132 (No. 214)
Unique sites:
Ba 0.1176 0.3676 0.1250 x24  2 Pt 3.23, 4 Br 3.30-3.43
Pt 0.1250 0.1250 0.1250 x8  6 Ba 3.23
Br 0.1225 0.3750 0.3725 x24  4 Ba 3.30-3.43

Output
Energy relative to the elements, uncorrected (meV per atom): -1619
Final energy (eV per atom): -4.023
D(E_F) (states/eV/atom): 0.45